The following is a DFT calculation (GGA-PBE) of an optimized crystal structure of LaOs2Ru.

Properties
- E_form (meV/atom) = 391
- VASP energy (eV/atom) = -8.775
- polymorph energy (0 for the lowest one) (eV/atom) = 0.068
- space-group type = Pmmm (47)

Unit cell a=2.808 b=3.776 c=6.940 alpha=90.00 beta=90.00 gamma=90.00
Element x y z (fractional)
La: 0.500 0.500 0.750
Os: 0.000 0.000 0.065
Os: 0.000 0.000 0.435
Ru: 0.500 0.500 0.250